A plane-wave DFT calculation with PBE was carried out for NdGaRh after structural relaxation.

Calculated values
As for the formation energy: -588 meV per atom. Its symmetry is I4mm.

abc: 3.345 3.345 5.887
angles: 106.50 106.50 90.00
Fractional positions:
Nd 0.623 0.623 0.245
Rh 0.312 0.312 0.625
Ga 0.915 0.915 0.830



A plane-wave DFT calculation with PBE was carried out for Er6CdSe5 after structural relaxation.

Calculated values
For the energy relative to the elements, uncorrected, the calculation gives -1.441 eV per atom. Its symmetry is C2/m.

abc: 7.056 7.104 7.079
angles: 59.88 80.40 70.58
Fractional positions:
Cd 0.000 0.000 0.000
Se 0.500 0.168 0.665
Se 0.000 0.334 0.332
Se 0.500 0.500 0.000
Se 0.000 0.666 0.668
Se 0.500 0.832 0.335
Er 0.750 0.083 0.337
Er 0.250 0.580 0.337
Er 0.250 0.253 0.000
Er 0.750 0.747 0.000
Er 0.750 0.420 0.663
Er 0.250 0.917 0.663



A plane-wave DFT calculation with PBE was carried out for Tc2Au after structural relaxation.

Calculated values
As for the formation energy: 207 meV per atom. The value obtained for the energy relative to the lowest polymorph listed for this composition is 0.079 eV/atom. Its symmetry is Pnma.

abc: 5.567 3.954 8.538
angles: 90.00 90.00 90.00
Fractional positions:
Au 0.115 0.250 0.909
Au 0.385 0.750 0.409
Au 0.615 0.250 0.591
Au 0.885 0.750 0.091
Tc 0.110 0.250 0.274
Tc 0.106 0.250 0.579
Tc 0.394 0.750 0.079
Tc 0.390 0.750 0.774
Tc 0.610 0.250 0.226
Tc 0.606 0.250 0.921
Tc 0.894 0.750 0.421
Tc 0.890 0.750 0.726



A plane-wave DFT calculation with PBE was carried out for RbBrF after structural relaxation.

Calculated values
For the energy relative to the elements, uncorrected, the calculation gives -1.583 eV per atom. Its symmetry is P-1.

abc: 7.583 4.900 5.847
angles: 88.94 89.24 50.42
Site moments in Bohr magnetons follow the coordinates.
Fractional positions:
Br 0.250 0.251 0.250  0.05
Br 0.750 0.749 0.750  0.05
Rb 0.750 0.250 0.250  0.00
Rb 0.250 0.750 0.750  0.00
F 0.250 0.751 0.250  0.03
F 0.750 0.249 0.750  0.03



A plane-wave DFT calculation with PBE was carried out for Y2MgIr after structural relaxation.

Calculated values
As for the formation energy: -248 meV per atom. Its symmetry is F-43m.

abc: 4.946 4.946 4.946
angles: 60.00 60.00 60.00
Fractional positions:
Ir 0.500 0.500 0.500
Mg 0.250 0.250 0.250
Y 0.000 0.000 0.000
Y 0.750 0.750 0.750



A plane-wave DFT calculation with PBE was carried out for Ac4Sn8Ir after structural relaxation.

Calculated values
As for the formation energy: -588 meV per atom. Its symmetry is Pmm2.

abc: 4.625 4.733 18.341
angles: 90.00 90.00 90.00
Fractional positions:
Ac 0.000 0.000 0.103
Ac 0.000 0.500 0.606
Ac 0.500 0.500 0.391
Ac 0.500 0.000 0.897
Sn 0.000 0.000 0.456
Sn 0.000 0.500 0.946
Sn 0.500 0.500 0.053
Sn 0.500 0.000 0.558
Sn 0.000 0.500 0.239
Sn 0.000 0.000 0.748
Sn 0.500 0.000 0.239
Sn 0.500 0.500 0.754
Ir 0.000 0.000 0.313



A plane-wave DFT calculation with PBE was carried out for LaGdTmMg after structural relaxation.

Calculated values
As for the formation energy: 6 meV per atom. Its symmetry is F-43m.

abc: 5.582 5.582 5.582
angles: 60.00 60.00 60.00
Site moments in Bohr magnetons follow the coordinates.
Fractional positions:
Gd 0.500 0.500 0.500  7.20
Mg 0.750 0.750 0.750  -0.01
Tm 0.250 0.250 0.250  0.08
La 0.000 0.000 0.000  0.03



A plane-wave DFT calculation with PBE was carried out for AlFeTe2Br after structural relaxation.

Calculated values
For the energy relative to the elements, uncorrected, the calculation gives 0.645 eV per atom. Its symmetry is P4/mmm.

abc: 5.316 4.980 5.316
angles: 90.00 90.00 90.00
Site moments in Bohr magnetons follow the coordinates.
Fractional positions:
Te 0.000 0.000 0.500  0.09
Te 0.500 0.000 0.000  0.13
Fe 0.000 0.500 0.000  3.19
Br 0.500 0.500 0.500  0.15
Al 0.000 0.000 0.000  -0.03



A plane-wave DFT calculation with PBE was carried out for CuTcW2 after structural relaxation.

Calculated values
As for the formation energy: 357 meV per atom. The value obtained for the energy relative to the lowest polymorph listed for this composition is 0.161 eV/atom. Its symmetry is P4mm.

abc: 2.678 2.678 8.354
angles: 90.00 90.00 90.00
Fractional positions:
Cu 0.000 0.000 0.503
Tc 0.500 0.500 0.737
W 0.000 0.000 0.994
W 0.500 0.500 0.266



A plane-wave DFT calculation with PBE was carried out for NaRe2Ir2 after structural relaxation.

Calculated values
As for the formation energy: 97 meV per atom. The value obtained for the energy relative to the lowest polymorph listed for this composition is 0.000 eV/atom. Its symmetry is P4/mbm.

abc: 7.839 7.839 2.701
angles: 90.00 90.00 90.00
Fractional positions:
Re 0.380 0.880 0.000
Re 0.880 0.620 0.000
Re 0.620 0.120 0.000
Re 0.120 0.380 0.000
Ir 0.169 0.669 0.500
Ir 0.669 0.831 0.500
Ir 0.831 0.331 0.500
Ir 0.331 0.169 0.500
Na 0.000 0.000 0.000
Na 0.500 0.500 0.000



A plane-wave DFT calculation with PBE was carried out for Er2AlSi4Pt3 after structural relaxation.

Calculated values
For the energy relative to the elements, uncorrected, the calculation gives -0.984 eV per atom. Its symmetry is P-4m2.

abc: 4.007 4.007 10.696
angles: 90.00 90.00 90.00
Fractional positions:
Er 0.500 0.000 0.256
Er 0.000 0.500 0.744
Al 0.500 0.500 0.500
Si 0.500 0.500 0.000
Si 0.000 0.000 0.000
Si 0.500 0.000 0.646
Si 0.000 0.500 0.354
Pt 0.000 0.000 0.500
Pt 0.500 0.000 0.869
Pt 0.000 0.500 0.131



A plane-wave DFT calculation with PBE was carried out for BaTeAsRu2 after structural relaxation.

Calculated values
For the energy relative to the elements, uncorrected, the calculation gives 0.880 eV per atom. Its symmetry is P4/mmm.

abc: 4.892 6.475 4.892
angles: 90.00 90.00 90.00
Site moments in Bohr magnetons follow the coordinates.
Fractional positions:
Ru 0.000 0.000 0.500  0.88
Ru 0.500 0.000 0.000  1.05
As 0.500 0.500 0.500  0.03
Te 0.000 0.000 0.000  -0.02
Ba 0.000 0.500 0.000  0.01